No. 1
# PBE Rb2U2BeS6, relaxed
data_Rb2U2BeS6
_cell_length_a 6.5666
_cell_length_b 12.7013
_cell_length_c 8.1009
_cell_angle_alpha 90.00
_cell_angle_beta 104.91
_cell_angle_gamma 90.00
_symmetry_space_group_name_H-M 'C 1 2/m 1'
_symmetry_Int_Tables_number 12
loop_
_symmetry_equiv_pos_as_xyz
'x,y,z'
'-x,-y,-z'
'-x,y,-z'
'x,-y,z'
'x+1/2,y+1/2,z'
'-x+1/2,-y+1/2,-z'
'-x+1/2,y+1/2,-z'
'x+1/2,-y+1/2,z'
loop_
_atom_site_label
_atom_site_type_symbol
_atom_site_fract_x
_atom_site_fract_y
_atom_site_fract_z
Rb1 Rb 0.0000 0.1493 0.0000
U1 U 0.0000 0.3343 0.5000
Be1 Be 0.0000 0.0000 0.5000
S1 S 0.2170 0.0000 0.3627
S2 S 0.2403 0.1884 0.6970
# Total DFT energy (no corrections): -132.03 eV per cell
# Total moment: 8.00 μB per cell
# Raw formation energy: -27.3 kcal/mol of atoms

No. 2
# PBE Rb2UBeS4, relaxed
data_Rb2UBeS4
_cell_length_a 5.9910
_cell_length_b 14.0798
_cell_length_c 25.1637
_cell_angle_alpha 90.00
_cell_angle_beta 90.00
_cell_angle_gamma 90.00
_symmetry_space_group_name_H-M 'F d d d'
_symmetry_Int_Tables_number 70
loop_
_symmetry_equiv_pos_as_xyz
'x,y,z'
'-x,-y,-z'
'-x+1/4,-y+1/4,z'
'x+1/4,y+1/4,-z'
'x,-y+1/4,-z+1/4'
'-x,y+1/4,z+1/4'
'-x+1/4,y,-z+1/4'
'x+1/4,-y,z+1/4'
'x,y+1/2,z+1/2'
'-x,-y+1/2,-z+1/2'
'-x+1/4,-y+3/4,z+1/2'
'x+1/4,y+3/4,-z+1/2'
'x,-y+3/4,-z+3/4'
'-x,y+3/4,z+3/4'
'-x+1/4,y+1/2,-z+3/4'
'x+1/4,-y+1/2,z+3/4'
'x+1/2,y,z+1/2'
'-x+1/2,-y,-z+1/2'
'-x+3/4,-y+1/4,z+1/2'
'x+3/4,y+1/4,-z+1/2'
'x+1/2,-y+1/4,-z+3/4'
'-x+1/2,y+1/4,z+3/4'
'-x+3/4,y,-z+3/4'
'x+3/4,-y,z+3/4'
'x+1/2,y+1/2,z'
'-x+1/2,-y+1/2,-z'
'-x+3/4,-y+3/4,z'
'x+3/4,y+3/4,-z'
'x+1/2,-y+3/4,-z+1/4'
'-x+1/2,y+3/4,z+1/4'
'-x+3/4,y+1/2,-z+1/4'
'x+3/4,-y+1/2,z+1/4'
loop_
_atom_site_label
_atom_site_type_symbol
_atom_site_fract_x
_atom_site_fract_y
_atom_site_fract_z
Rb1 Rb 0.1250 0.1250 0.3042
U1 U 0.1250 0.1250 0.1250
Be1 Be 0.1250 0.1250 0.6250
S1 S 0.0787 0.2820 0.8260
# Total DFT energy (no corrections): -335.75 eV per cell
# Total moment: 16.00 μB per cell
# Raw formation energy: -24.5 kcal/mol of atoms

no.,calculated volume (Å³/atom)
1,29.7
2,33.2